VASP calculation (PBE-GGA) on a relaxed structure of Y2Cu5Ni12.

a = 8.3513 Å, b = 8.3512 Å, c = 8.1049 Å
α = 90.00°, β = 90.00°, γ = 120.00°
With the nearest neighbours (Å) after each atom.
Atoms (fractional coordinates):
Cu: 0.6667 0.3333 0.1046  4 Cu 2.36-2.56
Cu: 0.3333 0.6667 0.6046  4 Cu 2.36-2.56
Cu: 0.3333 0.6667 0.8954  4 Cu 2.36-2.56
Cu: 0.6667 0.3333 0.3954  4 Cu 2.36-2.56
Cu: 0.0000 0.5000 0.0000  8 Ni 2.42-2.43, 2 Cu 2.56
Cu: 0.5000 0.5000 0.0000  8 Ni 2.42-2.43, 2 Cu 2.56
Cu: 0.5000 0.0000 0.0000  8 Ni 2.42-2.43, 2 Cu 2.56
Cu: 0.0000 0.5000 0.5000  8 Ni 2.42-2.43, 2 Cu 2.56
Cu: 0.5000 0.5000 0.5000  8 Ni 2.42-2.43, 2 Cu 2.56
Cu: 0.5000 0.0000 0.5000  8 Ni 2.42-2.43, 2 Cu 2.56
Ni: 0.9597 0.6341 0.2500  6 Ni 2.38-2.58, 2 Cu 2.42
Ni: 0.3659 0.3256 0.2500  6 Ni 2.38-2.58, 2 Cu 2.42
Ni: 0.6744 0.0404 0.2500  6 Ni 2.38-2.58, 2 Cu 2.42
Ni: 0.0403 0.3659 0.7500  6 Ni 2.38-2.58, 2 Cu 2.42
Ni: 0.6341 0.6744 0.7500  6 Ni 2.38-2.58, 2 Cu 2.42
Ni: 0.3256 0.9596 0.7500  6 Ni 2.38-2.58, 2 Cu 2.42
Ni: 0.3256 0.3659 0.7500  6 Ni 2.38-2.58, 2 Cu 2.42
Ni: 0.0403 0.6744 0.7500  6 Ni 2.38-2.58, 2 Cu 2.42
Ni: 0.6341 0.9596 0.7500  6 Ni 2.38-2.58, 2 Cu 2.42
Ni: 0.6744 0.6341 0.2500  6 Ni 2.38-2.58, 2 Cu 2.42
Ni: 0.9597 0.3256 0.2500  6 Ni 2.38-2.58, 2 Cu 2.42
Ni: 0.3659 0.0404 0.2500  6 Ni 2.38-2.58, 2 Cu 2.42
Ni: 0.3286 0.1643 0.9797  6 Ni 2.40-2.52, 3 Cu 2.43-2.65
Ni: 0.8357 0.1643 0.9797  6 Ni 2.40-2.52, 3 Cu 2.43-2.65
Ni: 0.8357 0.6714 0.9797  6 Ni 2.40-2.52, 3 Cu 2.43-2.65
Ni: 0.6714 0.8357 0.4797  6 Ni 2.40-2.52, 3 Cu 2.43-2.65
Ni: 0.1643 0.8357 0.4797  6 Ni 2.40-2.52, 3 Cu 2.43-2.65
Ni: 0.1643 0.3286 0.4797  6 Ni 2.40-2.52, 3 Cu 2.43-2.65
Ni: 0.1643 0.8357 0.0203  6 Ni 2.40-2.52, 3 Cu 2.43-2.65
Ni: 0.6714 0.8357 0.0203  6 Ni 2.40-2.52, 3 Cu 2.43-2.65
Ni: 0.1643 0.3286 0.0203  6 Ni 2.40-2.52, 3 Cu 2.43-2.65
Ni: 0.8357 0.1643 0.5203  6 Ni 2.40-2.52, 3 Cu 2.43-2.65
Ni: 0.3286 0.1643 0.5203  6 Ni 2.40-2.52, 3 Cu 2.43-2.65
Ni: 0.8357 0.6714 0.5203  6 Ni 2.40-2.52, 3 Cu 2.43-2.65
Y: 0.0000 0.0000 0.2500  18 Ni 2.90-3.23
Y: 0.0000 0.0000 0.7500  18 Ni 2.90-3.23
Y: 0.6667 0.3333 0.7500  8 Cu 2.87-3.15, 12 Ni 2.99-3.07
Y: 0.3333 0.6667 0.2500  8 Cu 2.87-3.15, 12 Ni 2.99-3.07

Results
The calculation puts the formation energy at -0.165 eV/atom. For the total energy, the calculation gives -105.92 eV/f.u. The calculation puts the volume at 12.9 Å³/atom.